VASP calculation (PBE) on an optimized crystal structure of Ag2HSCl.

Lattice parameters (Å, degrees): 4.856 4.856 4.692 90.00 90.00 90.00
Element x y z (fractional)
Ag 0.000 0.500 0.000
Ag 0.500 0.000 0.000
H 0.000 0.000 0.426
S 0.000 0.000 0.139
Cl 0.500 0.500 0.677

* symmetry: P4mm, No. 99
* uncorrected energy: -3.220 eV per atom
* crystal system: tetragonal

=====

VASP calculation (PBE) on an optimized crystal structure of BaSc.

Lattice parameters (Å, degrees): 7.051 7.051 11.923 90.00 90.00 90.00
Element x y z (fractional)
Ba 0.091 0.193 0.145
Ba 0.193 0.091 0.855
Ba 0.307 0.591 0.895
Ba 0.409 0.693 0.605
Ba 0.591 0.307 0.105
Ba 0.693 0.409 0.395
Ba 0.807 0.909 0.355
Ba 0.909 0.807 0.645
Sc 0.058 0.303 0.589
Sc 0.197 0.558 0.339
Sc 0.303 0.058 0.411
Sc 0.442 0.803 0.161
Sc 0.558 0.197 0.661
Sc 0.697 0.942 0.911
Sc 0.803 0.442 0.839
Sc 0.942 0.697 0.089

* ΔH_f (0 K): 404 meV/atom
* symmetry: P4_32_12, No. 96
* E above lowest polymorph: 0.1685 eV per atom
* crystal system: tetragonal

=====

VASP calculation (PBE) on an optimized crystal structure of Be2Te2Pb.

Lattice parameters (Å, degrees): 8.689 8.689 3.882 90.00 90.00 90.00
Element x y z (fractional)
Be 0.243 0.257 0.000
Be 0.257 0.757 0.000
Be 0.743 0.243 0.000
Be 0.757 0.743 0.000
Te 0.153 0.653 0.500
Te 0.347 0.153 0.500
Te 0.653 0.847 0.500
Te 0.847 0.347 0.500
Pb 0.000 0.000 0.500
Pb 0.500 0.500 0.500

* E_form (uncorrected): 197 kJ/mol of formula units
* symmetry: P4/mbm, No. 127
* E above lowest polymorph: 0.3688 eV per atom
* crystal system: tetragonal

=====

VASP calculation (PBE) on an optimized crystal structure of K2RbAsS4.

Lattice parameters (Å, degrees): 7.064 7.064 7.064 108.91 108.91 110.60
Element x y z (fractional)
K 0.000 0.000 0.000
K 0.750 0.250 0.500
Rb 0.250 0.750 0.500
As 0.500 0.500 0.000
S 0.181 0.492 0.985
S 0.507 0.196 0.015
S 0.508 0.493 0.690
S 0.804 0.819 0.310

* E_form (uncorrected): -631 kJ/mol of formula units
* symmetry: I-4, No. 82
* crystal system: tetragonal

=====

VASP calculation (PBE) on an optimized crystal structure of LaPmDySc.

Lattice parameters (Å, degrees): 6.779 6.779 3.824 106.36 106.36 50.18
Element x y z (fractional)
La 0.000 0.000 0.000
Pm 0.728 0.728 0.223
Dy 0.267 0.267 0.763
Sc 0.495 0.495 0.492

* ΔH_f (0 K): 90 meV/atom
* symmetry: Cm, No. 8
* E above lowest polymorph: 0.0000 eV per atom
* crystal system: monoclinic

=====

VASP calculation (PBE) on an optimized crystal structure of ThWS2.

Lattice parameters (Å, degrees): 9.214 9.214 9.214 20.34 20.34 20.34
Element x y z (fractional)
Th 0.000 0.000 0.000
W 0.500 0.500 0.500
S 0.108 0.108 0.108
S 0.892 0.892 0.892

* E_form (uncorrected): -144 kJ/mol of formula units
* symmetry: R-3m, No. 166
* crystal system: trigonal

=====

VASP calculation (PBE) on an optimized crystal structure of GaHg2RuPt.

Lattice parameters (Å, degrees): 5.267 5.267 4.786 90.00 90.00 90.00
Element x y z (fractional)
Ga 0.000 0.000 0.000
Hg 0.000 0.500 0.500
Hg 0.500 0.000 0.500
Ru 0.500 0.500 0.500
Pt 0.500 0.500 0.000

* ΔH_f (0 K): 678 meV/atom
* symmetry: P4/mmm, No. 123
* crystal system: tetragonal

=====

Calculated volume? In order: 110.6, 592.8, 293.1, 271.3, 128.3, 82.7, 132.8 Å³ per cell.
Density of states at the Fermi level? In order: 0.00, 26.88, 4.82, 0.00, 6.79, 4.03, 2.34 states/eV per cell.